The following is a PBE calculation of a relaxed structure of CaEuHfZrO6, from Alexandria.

Cell: 5.865 5.865 5.865 Å, 60.00 60.00 60.00°
Atoms (fractional coordinates):
1 Ca 0.000 0.000 0.000
2 Eu 0.500 0.500 0.500
3 Hf 0.250 0.250 0.250
4 Zr 0.750 0.750 0.750
5 O 0.002 0.002 0.498
6 O 0.002 0.498 0.002
7 O 0.002 0.498 0.498
8 O 0.498 0.002 0.002
9 O 0.498 0.002 0.498
10 O 0.498 0.498 0.002

- formation energy without anion corrections (eV/f.u.) = -31.84
- D(E_F) (states/eV/atom) = 0.17
- energy (eV/atom) = -9.236
- symmetry = F-43m (216)